# 1
Density functional theory data (PBE) for a relaxed structure of HoMnGaS4.

Output
ρ, kg/m³: 4598
Magnetic moment, μB per formula unit: 4.770
Formation energy from raw total energies, eV per atom: -1.09

Cell: 7.4986 7.5268 7.5268 Å, 60.39 60.12 60.12°
Closest atoms and distances in Å follow each position.
Fractional positions:
S (0.7454, 0.7703, 0.7390)  1 Ga 2.35, 2 Mn 2.58
S (0.7510, 0.2447, 0.7447)  1 Ga 2.34, 1 Mn 2.60
S (0.7454, 0.2390, 0.2703)  1 Ga 2.35, 2 Mn 2.58
S (0.2546, 0.7610, 0.7297)  1 Ga 2.35, 2 Mn 2.58
S (0.2490, 0.7553, 0.2553)  1 Ga 2.34, 1 Mn 2.60
S (0.2596, 0.2447, 0.7447)  1 Ga 2.34, 1 Mn 2.60
S (0.7404, 0.7553, 0.2553)  1 Ga 2.34, 1 Mn 2.60
S (0.2546, 0.2297, 0.2610)  1 Ga 2.35, 2 Mn 2.58
Mn (0.5000, 0.0000, 0.5000)  6 S 2.58-2.60
Mn (0.0000, 0.0000, 0.5000)  6 S 2.58-2.60
Ho (0.0000, 0.0000, 0.0000)  6 S 2.69-2.71
Ho (0.0000, 0.5000, 0.5000)  6 S 2.69-2.71
Ga (0.6307, 0.6193, 0.1193)  4 S 2.34-2.35
Ga (0.3693, 0.3807, 0.8807)  4 S 2.34-2.35


# 2
Density functional theory data (PBE) for a relaxed structure of Ho3Mn3Ga2Si.

Output
ρ, kg/m³: 8143
Magnetic moment, μB per formula unit: 7.109
Formation energy from raw total energies, eV per atom: -0.35

Cell: 7.0480 7.0480 3.9209 Å, 90.00 90.00 120.00°
Closest atoms and distances in Å follow each position.
Fractional positions:
Ga (0.3333, 0.6667, 0.0000)  3 Mn 2.84, 6 Ho 2.90
Ga (0.6667, 0.3333, 0.0000)  3 Mn 2.84, 6 Ho 2.90
Mn (0.2198, 0.0000, 0.0000)  2 Si 2.50, 2 Mn 2.68
Mn (0.0000, 0.2198, 0.0000)  2 Si 2.50, 2 Mn 2.68
Mn (0.7802, 0.7802, 0.0000)  2 Si 2.50, 2 Mn 2.68
Si (0.0000, 0.0000, 0.5000)  6 Mn 2.50
Ho (0.4073, 0.4073, 0.5000)  1 Si 2.87, 4 Ga 2.90, 4 Mn 3.17
Ho (0.5927, 0.0000, 0.5000)  1 Si 2.87, 4 Ga 2.90, 4 Mn 3.17
Ho (0.0000, 0.5927, 0.5000)  1 Si 2.87, 4 Ga 2.90, 4 Mn 3.17


# 3
Density functional theory data (PBE) for a relaxed structure of Ho3Mn3Ga2Si.

Output
ρ, kg/m³: 7955
Magnetic moment, μB per formula unit: 9.466
Formation energy from raw total energies, eV per atom: -0.35

Cell: 6.9403 6.9403 4.1393 Å, 90.00 90.00 120.00°
Closest atoms and distances in Å follow each position.
Fractional positions:
Si (0.0000, 0.0000, 0.0000)  3 Mn 2.67, 6 Ho 2.92
Ho (0.0856, 0.3292, 0.5000)  2 Si 2.92, 3 Ga 2.92-2.95, 4 Mn 3.16-3.21
Ho (0.6708, 0.7564, 0.5000)  2 Si 2.92, 3 Ga 2.92-2.95, 4 Mn 3.16-3.21
Ho (0.2436, 0.9144, 0.5000)  2 Si 2.92, 3 Ga 2.92-2.95, 4 Mn 3.16-3.21
Mn (0.4259, 0.3209, 0.0000)  3 Ga 2.63-2.78, 1 Si 2.67, 2 Mn 2.82
Mn (0.6791, 0.1050, 0.0000)  3 Ga 2.63-2.78, 1 Si 2.67, 2 Mn 2.82
Mn (0.8950, 0.5741, 0.0000)  3 Ga 2.63-2.78, 1 Si 2.67, 2 Mn 2.82
Ga (0.6667, 0.3333, 0.5000)  6 Mn 2.63, 3 Ho 2.92
Ga (0.3333, 0.6667, 0.0000)  3 Mn 2.78, 6 Ho 2.95


# 4
Density functional theory data (PBE) for a relaxed structure of SmHoMnGa.

Output
ρ, kg/m³: 7875
Magnetic moment, μB per formula unit: 3.297
DFT formation energy, meV/atom: -143

Cell: 5.0813 5.0813 5.0813 Å, 60.00 60.00 60.00°
Closest atoms and distances in Å follow each position.
Fractional positions:
Ga (0.0000, 0.0000, 0.0000)  4 Sm 3.11, 4 Ho 3.11
Ho (0.2500, 0.2500, 0.2500)  4 Mn 3.11, 4 Ga 3.11
Mn (0.5000, 0.5000, 0.5000)  4 Ho 3.11, 4 Sm 3.11
Sm (0.7500, 0.7500, 0.7500)  4 Ga 3.11, 4 Mn 3.11


# 5
Density functional theory data (PBE) for a relaxed structure of TbHoMnGa.

Output
ρ, kg/m³: 8244
Magnetic moment, μB per formula unit: 3.302
DFT formation energy, meV/atom: -162

Cell: 5.0365 5.0365 5.0365 Å, 60.00 60.00 60.00°
Closest atoms and distances in Å follow each position.
Fractional positions:
Mn (0.5000, 0.5000, 0.5000)  4 Tb 3.08, 4 Ho 3.08
Tb (0.7500, 0.7500, 0.7500)  4 Mn 3.08, 4 Ga 3.08
Ga (0.0000, 0.0000, 0.0000)  4 Tb 3.08, 4 Ho 3.08
Ho (0.2500, 0.2500, 0.2500)  4 Mn 3.08, 4 Ga 3.08


# 6
Density functional theory data (PBE) for a relaxed structure of HoThMnGa.

Output
ρ, kg/m³: 9294
Magnetic moment, μB per formula unit: 2.710
DFT formation energy, meV/atom: -98

Cell: 5.0890 5.0890 5.0890 Å, 60.00 60.00 60.00°
Closest atoms and distances in Å follow each position.
Fractional positions:
Mn (0.7500, 0.7500, 0.7500)  4 Th 3.12, 4 Ho 3.12
Th (0.5000, 0.5000, 0.5000)  4 Mn 3.12, 4 Ga 3.12
Ho (0.0000, 0.0000, 0.0000)  4 Mn 3.12, 4 Ga 3.12
Ga (0.2500, 0.2500, 0.2500)  4 Th 3.12, 4 Ho 3.12


# 7
Density functional theory data (PBE) for a relaxed structure of HoTmMnGa.

Output
ρ, kg/m³: 8674
Magnetic moment, μB per formula unit: 3.317
DFT formation energy, meV/atom: -173

Cell: 4.9886 4.9886 4.9886 Å, 60.00 60.00 60.00°
Closest atoms and distances in Å follow each position.
Fractional positions:
Mn (0.7500, 0.7500, 0.7500)  4 Ho 3.05, 4 Tm 3.05
Ho (0.5000, 0.5000, 0.5000)  4 Mn 3.05, 4 Ga 3.05
Ga (0.2500, 0.2500, 0.2500)  4 Ho 3.05, 4 Tm 3.05
Tm (0.0000, 0.0000, 0.0000)  4 Mn 3.05, 4 Ga 3.05


# 8
Density functional theory data (PBE) for a relaxed structure of HoGa2Mo.

Output
ρ, kg/m³: 8760
Magnetic moment, μB per formula unit: 0.000
DFT formation energy, meV/atom: 22

Cell: 3.0572 3.0572 9.5398 Å, 80.78 80.78 60.00°
Closest atoms and distances in Å follow each position.
Fractional positions:
Mo (0.0000, 0.0000, 0.0000)  6 Ga 2.75, 6 Mo 3.06
Ho (0.5000, 0.5000, 0.5000)  6 Ho 3.06, 6 Ga 3.13
Ga (0.2585, 0.2585, 0.2244)  3 Mo 2.75, 6 Ga 3.06
Ga (0.7415, 0.7415, 0.7756)  3 Mo 2.75, 6 Ga 3.06


# 9
Density functional theory data (PBE) for a relaxed structure of HoGa6Mo.

Output
ρ, kg/m³: 7080
Magnetic moment, μB per formula unit: 0.000
DFT formation energy, meV/atom: -94

Cell: 5.8281 5.8281 5.8321 Å, 71.81 71.81 108.20°
Closest atoms and distances in Å follow each position.
Fractional positions:
Ho (0.5000, 0.5000, 0.5000)  12 Ga 3.02-3.37, 2 Mo 3.09
Ga (0.7255, 0.7255, 0.8259)  1 Mo 2.57, 1 Ga 2.64
Ga (0.2749, 0.8261, 0.7254)  1 Mo 2.57, 1 Ga 2.64
Ga (0.8261, 0.2749, 0.7254)  1 Mo 2.57, 1 Ga 2.64
Ga (0.1739, 0.7251, 0.2746)  1 Mo 2.57, 1 Ga 2.64
Ga (0.2745, 0.2745, 0.1741)  1 Mo 2.57, 1 Ga 2.64
Ga (0.7251, 0.1739, 0.2746)  1 Mo 2.57, 1 Ga 2.64
Mo (0.0000, 0.0000, 0.0000)  6 Ga 2.57


# 10
Density functional theory data (PBE) for a relaxed structure of HoGa4Mo.

Output
ρ, kg/m³: 8788
Magnetic moment, μB per formula unit: 0.000
DFT formation energy, meV/atom: -162

Cell: 5.2444 5.2444 5.2444 Å, 60.00 60.00 60.00°
Closest atoms and distances in Å follow each position.
Fractional positions:
Ga (0.6251, 0.1247, 0.6251)  6 Ga 2.62
Ga (0.6251, 0.6251, 0.6251)  6 Ga 2.62
Ga (0.1247, 0.6251, 0.6251)  6 Ga 2.62
Ga (0.6251, 0.6251, 0.1247)  6 Ga 2.62
Mo (0.0000, 0.0000, 0.0000)  12 Ga 3.07, 4 Ho 3.21
Ho (0.2500, 0.2500, 0.2500)  12 Ga 3.08, 4 Mo 3.21


# 11
Density functional theory data (PBE) for a relaxed structure of Ho4Ga12Mo.

Output
ρ, kg/m³: 8188
Magnetic moment, μB per formula unit: 0.000
DFT formation energy, meV/atom: -500

Cell: 7.4858 7.4858 7.4858 Å, 109.47 109.47 109.47°
Closest atoms and distances in Å follow each position.
Fractional positions:
Ho (0.5000, 0.0000, 0.0000)  12 Ga 3.06-3.08
Ho (0.0000, 0.0000, 0.5000)  12 Ga 3.06-3.08
Ho (0.5000, 0.5000, 0.5000)  12 Ga 3.06-3.08
Ho (0.0000, 0.5000, 0.0000)  12 Ga 3.06-3.08
Ga (0.0000, 0.7061, 0.7061)  1 Mo 2.54, 4 Ga 2.80
Ga (0.0000, 0.2939, 0.2939)  1 Mo 2.54, 4 Ga 2.80
Ga (0.5000, 0.7500, 0.2500)  8 Ga 2.80-3.06, 4 Ho 3.06
Ga (0.7500, 0.5000, 0.2500)  8 Ga 2.80-3.06, 4 Ho 3.06
Ga (0.2939, 0.2939, 0.0000)  1 Mo 2.54, 4 Ga 2.80
Ga (0.5000, 0.2500, 0.7500)  8 Ga 2.80-3.06, 4 Ho 3.06
Ga (0.2939, 0.0000, 0.2939)  1 Mo 2.54, 4 Ga 2.80
Ga (0.2500, 0.5000, 0.7500)  8 Ga 2.80-3.06, 4 Ho 3.06
Ga (0.7500, 0.2500, 0.5000)  8 Ga 2.80-3.06, 4 Ho 3.06
Ga (0.2500, 0.7500, 0.5000)  8 Ga 2.80-3.06, 4 Ho 3.06
Ga (0.7061, 0.7061, 0.0000)  1 Mo 2.54, 4 Ga 2.80
Ga (0.7061, 0.0000, 0.7061)  1 Mo 2.54, 4 Ga 2.80
Mo (0.0000, 0.0000, 0.0000)  6 Ga 2.54


# 12
Density functional theory data (PBE) for a relaxed structure of Ho7Ga2N2.

Output
ρ, kg/m³: 8204
Magnetic moment, μB per formula unit: 0.000
Formation energy from raw total energies, eV per atom: -0.61

Cell: 6.4502 6.4909 6.4909 Å, 99.71 91.71 91.71°
Closest atoms and distances in Å follow each position.
Fractional positions:
Ga (0.5000, 0.8598, 0.1402)  1 Ga 2.78, 2 Ho 3.07
Ga (0.5000, 0.1402, 0.8598)  1 Ga 2.78, 2 Ho 3.07
Ho (0.7957, 0.1540, 0.4997)  1 N 2.21
Ho (0.2043, 0.8460, 0.5003)  1 N 2.21
Ho (0.2043, 0.5003, 0.8460)  1 N 2.21
Ho (0.6688, 0.6785, 0.6785)  1 N 2.18
Ho (0.7957, 0.4997, 0.1540)  1 N 2.21
Ho (0.3312, 0.3215, 0.3215)  1 N 2.18
Ho (0.0000, 0.0000, 0.0000)  2 N 2.28
N (0.9966, 0.2718, 0.2718)  4 Ho 2.18-2.28
N (0.0034, 0.7282, 0.7282)  4 Ho 2.18-2.28


# 13
Density functional theory data (PBE) for a relaxed structure of Ho4Ga2N.

Output
ρ, kg/m³: 8115
Magnetic moment, μB per formula unit: 0.000
Formation energy from raw total energies, eV per atom: -0.52
Energy relative to the lowest polymorph listed for this composition, meV per atom: 230.5

Cell: 4.6007 4.6007 8.5080 Å, 74.31 74.31 90.00°
Closest atoms and distances in Å follow each position.
Fractional positions:
Ho (0.3176, 0.3176, 0.3649)  1 Ga 2.86
Ho (0.6824, 0.6824, 0.6351)  1 Ga 2.86
Ho (0.0000, 0.5000, 0.0000)  2 N 2.30
Ho (0.5000, 0.0000, 0.0000)  2 N 2.30
N (0.0000, 0.0000, 0.0000)  2 Ga 2.13, 4 Ho 2.30
Ga (0.8643, 0.8643, 0.2714)  1 N 2.13
Ga (0.1357, 0.1357, 0.7286)  1 N 2.13


# 14
Density functional theory data (PBE) for a relaxed structure of Ho2GaN.

Output
ρ, kg/m³: 8860
Magnetic moment, μB per formula unit: 0.000
Formation energy from raw total energies, eV per atom: -1.07

Cell: 3.5021 3.5021 7.5724 Å, 76.63 76.63 60.00°
Closest atoms and distances in Å follow each position.
Fractional positions:
N (0.5000, 0.5000, 0.5000)  6 Ho 2.43
Ga (0.0000, 0.0000, 0.0000)  6 Ho 3.06
Ho (0.7714, 0.7714, 0.6857)  3 N 2.43
Ho (0.2286, 0.2286, 0.3143)  3 N 2.43


# 15
Density functional theory data (PBE) for a relaxed structure of Ho4GaN.

Output
ρ, kg/m³: 8373
Magnetic moment, μB per formula unit: 0.592
Formation energy from raw total energies, eV per atom: -0.64

Cell: 3.5256 9.9195 8.6483 Å, 102.86 90.00 90.00°
Closest atoms and distances in Å follow each position.
Fractional positions:
Ho (0.0001, 0.4959, 0.7804)  1 N 2.43
Ho (0.9999, 0.9959, 0.2804)  1 N 2.43
Ho (0.9999, 0.5041, 0.2196)  1 N 2.43
Ho (0.0001, 0.0041, 0.7196)  1 N 2.43
Ho (0.5000, 0.1687, 0.0520)  2 N 2.40
Ho (0.5000, 0.3313, 0.4480)  2 N 2.40
Ho (0.5000, 0.6687, 0.5520)  2 N 2.40
Ho (0.5000, 0.8313, 0.9480)  2 N 2.40
Ga (0.5002, 0.2500, 0.7500)  6 Ho 2.90-2.97
Ga (0.4998, 0.7500, 0.2500)  6 Ho 2.90-2.97
N (0.0000, 0.5000, 0.5000)  6 Ho 2.40-2.43
N (0.0000, 0.0000, 0.0000)  6 Ho 2.40-2.43


# 16
Density functional theory data (PBE) for a relaxed structure of Ho12Ga6N.

Output
ρ, kg/m³: 8289
Magnetic moment, μB per formula unit: 0.000
Formation energy from raw total energies, eV per atom: -0.50

Cell: 7.8646 7.8646 7.8646 Å, 93.80 93.80 93.80°
Closest atoms and distances in Å follow each position.
Fractional positions:
N (0.0000, 0.0000, 0.0000)  6 Ho 2.39
Ho (0.0755, 0.2937, 0.9603)  1 N 2.39
Ho (0.9245, 0.7063, 0.0397)  1 N 2.39
Ho (0.9603, 0.0755, 0.2937)  1 N 2.39
Ho (0.4559, 0.8046, 0.5814)  4 Ga 2.91-3.09
Ho (0.0397, 0.9245, 0.7063)  1 N 2.39
Ho (0.5441, 0.1954, 0.4186)  4 Ga 2.91-3.09
Ho (0.8046, 0.5814, 0.4559)  4 Ga 2.91-3.09
Ho (0.2937, 0.9603, 0.0755)  1 N 2.39
Ho (0.1954, 0.4186, 0.5441)  4 Ga 2.91-3.09
Ho (0.5814, 0.4559, 0.8046)  4 Ga 2.91-3.09
Ho (0.4186, 0.5441, 0.1954)  4 Ga 2.91-3.09
Ho (0.7063, 0.0397, 0.9245)  1 N 2.39
Ga (0.1445, 0.7469, 0.3574)  8 Ho 2.91-3.18
Ga (0.7469, 0.3574, 0.1445)  8 Ho 2.91-3.18
Ga (0.6426, 0.8555, 0.2531)  8 Ho 2.91-3.18
Ga (0.2531, 0.6426, 0.8555)  8 Ho 2.91-3.18
Ga (0.3574, 0.1445, 0.7469)  8 Ho 2.91-3.18
Ga (0.8555, 0.2531, 0.6426)  8 Ho 2.91-3.18


# 17
Density functional theory data (PBE) for a relaxed structure of HoGaN.

Output
ρ, kg/m³: 7509
Magnetic moment, μB per formula unit: 0.000
Formation energy from raw total energies, eV per atom: -0.93

Cell: 3.3919 3.3919 9.8548 Å, 99.91 99.91 90.00°
Closest atoms and distances in Å follow each position.
Fractional positions:
Ga (0.0752, 0.0752, 0.1503)  1 N 2.23
Ga (0.9248, 0.9248, 0.8497)  1 N 2.23
N (0.8082, 0.8082, 0.6165)  1 Ga 2.23, 5 Ho 2.32-2.40
N (0.1918, 0.1918, 0.3835)  1 Ga 2.23, 5 Ho 2.32-2.40
Ho (0.6869, 0.6869, 0.3738)  5 N 2.32-2.40
Ho (0.3131, 0.3131, 0.6262)  5 N 2.32-2.40


# 18
Density functional theory data (PBE) for a relaxed structure of Ho4Ga2N.

Output
ρ, kg/m³: 8736
Magnetic moment, μB per formula unit: 0.003
Formation energy from raw total energies, eV per atom: -0.75
Energy relative to the lowest polymorph listed for this composition, meV per atom: 0.0

Cell: 3.5914 5.9400 7.6538 Å, 102.75 103.57 90.00°
Closest atoms and distances in Å follow each position.
Fractional positions:
Ho (0.5684, 0.2722, 0.1367)  2 N 2.48
Ho (0.8675, 0.1569, 0.7349)  1 N 2.36
Ho (0.4316, 0.7278, 0.8633)  2 N 2.48
Ho (0.1325, 0.8431, 0.2651)  1 N 2.36
Ga (0.2395, 0.3377, 0.4790)  2 Ga 2.60
Ga (0.7605, 0.6623, 0.5210)  2 Ga 2.60
N (0.0000, 0.0000, 0.0000)  6 Ho 2.36-2.48


# 19
Density functional theory data (PBE) for a relaxed structure of PmHo2GaN.

Output
ρ, kg/m³: 8424
Magnetic moment, μB per formula unit: 0.000
Formation energy from raw total energies, eV per atom: -0.93

Cell: 4.9180 4.7318 4.7318 Å, 90.00 90.00 90.00°
Closest atoms and distances in Å follow each position.
Fractional positions:
Pm (0.5000, 0.0000, 0.0000)  2 N 2.46
Ho (0.0000, 0.5000, 0.0000)  2 N 2.37
Ho (0.0000, 0.0000, 0.5000)  2 N 2.37
N (0.0000, 0.0000, 0.0000)  4 Ho 2.37, 2 Pm 2.46
Ga (0.5000, 0.5000, 0.5000)  4 Pm 3.35, 8 Ho 3.41


# 20
Density functional theory data (PBE) for a relaxed structure of PmHoGaN3.

Output
ρ, kg/m³: 7460
Magnetic moment, μB per formula unit: 0.000
Formation energy from raw total energies, eV per atom: -0.99

Cell: 3.4360 7.2371 7.6080 Å, 97.15 90.00 90.00°
Closest atoms and distances in Å follow each position.
Fractional positions:
Pm (0.7500, 0.8273, 0.8182)  3 N 2.43-2.44
Pm (0.2500, 0.1727, 0.1818)  3 N 2.43-2.44
Ho (0.2500, 0.6372, 0.1554)  5 N 2.24-2.43
Ho (0.7500, 0.3628, 0.8446)  5 N 2.24-2.43
N (0.7500, 0.1705, 0.4939)  3 Ga 1.99-2.05
N (0.2500, 0.5990, 0.8589)  3 Ho 2.24-2.42, 2 Pm 2.43
N (0.7500, 0.8724, 0.1415)  1 Ga 1.93
N (0.2500, 0.1276, 0.8585)  1 Ga 1.93
N (0.2500, 0.8295, 0.5061)  3 Ga 1.99-2.05
N (0.7500, 0.4010, 0.1411)  3 Ho 2.24-2.42, 2 Pm 2.43
Ga (0.2500, 0.1065, 0.6030)  4 N 1.93-2.05
Ga (0.7500, 0.8935, 0.3970)  4 N 1.93-2.05